Record 1
Density functional theory data (GGA-PBE) for a relaxed structure of NdSmZnCd.

```
NdSmZnCd
1.0
-3.336 -3.974 1.136
0.917 -3.119 4.200
-3.140 0.307 4.273
Zn Nd Sm Cd
1 1 1 1
Cartesian
-1.390 -1.696 2.402 Zn
0.000 0.000 0.000 Nd
-2.779 -3.393 4.804 Sm
-4.169 -5.089 7.206 Cd
```

Values from the calculation:
symmetry: F-43m, No. 216
E above lowest polymorph: 0.025 eV/atom
formation enthalpy at 0 K: -0.296 eV per atom
magnetization: 0.0 μB per cell
ρ: 7.41 g cm⁻³

Record 2
Density functional theory data (GGA-PBE) for a relaxed structure of RbSr2SbI8.

```
RbSr2SbI8
1.0
-5.058 -5.748 -1.265
2.333 -3.425 6.171
-7.005 4.967 5.415
Rb Sr Sb I
1 2 1 8
Cartesian
-3.502 2.483 2.707 Rb
-6.639 -0.844 6.530 Sr
-3.090 -3.361 3.790 Sr
0.000 0.000 0.000 Sb
-0.480 -2.396 5.632 I
-8.596 -1.473 9.271 I
-5.220 -4.659 1.571 I
-9.250 -1.810 4.688 I
-1.133 -2.733 1.050 I
-4.510 0.454 8.749 I
-4.892 -3.602 6.502 I
-4.837 -0.603 3.818 I
```

Values from the calculation:
symmetry: P-1, No. 2
raw formation energy: -1.1563 eV per atom
magnetization: 0.0 μB per cell
ρ: 3.96 g cm⁻³

Record 3
Density functional theory data (GGA-PBE) for a relaxed structure of Co2Ni9Rh.

```
Co2Ni9Rh
1.0
-2.436 -2.262 1.270
2.248 -0.972 2.582
-3.877 7.698 6.273
Co Ni Rh
2 9 1
Cartesian
-1.303 2.588 2.109 Co
-2.573 5.110 4.164 Co
-0.094 -1.617 1.926 Ni
-1.400 0.977 4.040 Ni
-2.664 3.487 6.085 Ni
-1.895 0.213 1.730 Ni
-3.156 2.718 3.772 Ni
-4.418 5.223 5.813 Ni
0.447 0.858 2.386 Ni
-0.814 3.363 4.427 Ni
-2.076 5.868 6.469 Ni
0.000 0.000 0.000 Rh
```

Values from the calculation:
symmetry: P4/mmm, No. 123
formation enthalpy at 0 K: 0.025 eV per atom
magnetization: 10.4 μB per cell
ρ: 9.21 g cm⁻³

Question: ρ of number 3 (Co2Ni9Rh)?
Answer: 9.21 g cm⁻³

Question: The highest ρ belongs to which entry?
Answer: Co2Ni9Rh